Material: Nd4GaTe3
Method: DFT, PBE
State: optimized geometry

Unit cell a=7.7540 b=7.7540 c=4.4438 alpha=90.00 beta=90.00 gamma=109.04
With the nearest neighbours (Å) after each atom.
Element x y z (fractional)
1 Nd 0.2332 0.2332 0.5000  2 Ga 3.06, 4 Te 3.16-3.27
2 Nd 0.2382 0.7618 0.0000  1 Ga 3.01, 5 Te 3.17-3.31
3 Nd 0.7618 0.2382 0.0000  1 Ga 3.01, 5 Te 3.17-3.31
4 Nd 0.7668 0.7668 0.5000  2 Ga 3.06, 4 Te 3.16-3.27
5 Ga 0.0000 0.0000 0.0000  6 Nd 3.01-3.06
6 Te 0.0000 0.5000 0.5000  6 Nd 3.16-3.17
7 Te 0.5000 0.0000 0.5000  6 Nd 3.16-3.17
8 Te 0.5000 0.5000 0.0000  6 Nd 3.27-3.31

Values from the calculation:
Mass density ... 6.769 g cm⁻³
Energy above the lowest structure with this stoichiometry ... 9 meV per atom
Formation energy without anion corrections ... -1.2534 eV/atom

Material: Nd3Th3Ga4
Method: DFT, PBE
State: optimized geometry

Unit cell a=4.3844 b=7.8944 c=7.8944 alpha=89.83 beta=90.00 gamma=90.00
With the nearest neighbours (Å) after each atom.
Element x y z (fractional)
1 Nd 0.0000 0.0000 0.0000  6 Ga 3.22-3.24
2 Nd 0.0000 0.4957 0.8480  6 Ga 3.18-3.23
3 Nd 0.0000 0.8480 0.4957  6 Ga 3.18-3.23
4 Th 0.0000 0.3524 0.3524  6 Ga 3.14-3.21
5 Th 0.5000 0.1716 0.6797  4 Ga 3.14-3.17
6 Th 0.5000 0.6797 0.1716  4 Ga 3.14-3.17
7 Ga 0.5000 0.0612 0.2960  1 Ga 2.62
8 Ga 0.5000 0.2960 0.0612  1 Ga 2.62
9 Ga 0.5000 0.5535 0.5535  1 Ga 2.63
10 Ga 0.5000 0.7889 0.7889  1 Ga 2.63

Values from the calculation:
Mass density ... 8.555 g cm⁻³
ΔE_f ... -429 meV/atom

Material: Nd2Th3Ga4
Method: DFT, PBE
State: optimized geometry

Unit cell a=8.1218 b=8.1552 c=7.7555 alpha=90.00 beta=107.07 gamma=90.00
With the nearest neighbours (Å) after each atom.
Element x y z (fractional)
1 Nd 0.1907 0.1770 0.0763  6 Ga 3.17-3.51
2 Nd 0.1907 0.3230 0.5763  6 Ga 3.17-3.51
3 Nd 0.8093 0.6770 0.4237  6 Ga 3.17-3.51
4 Nd 0.8093 0.8230 0.9237  6 Ga 3.17-3.51
5 Th 0.2423 0.6802 0.2507  6 Ga 2.98-3.14
6 Th 0.2423 0.8198 0.7507  6 Ga 2.98-3.14
7 Th 0.5000 0.0000 0.5000  6 Ga 3.12-3.28
8 Th 0.5000 0.5000 0.0000  6 Ga 3.12-3.28
9 Th 0.7577 0.1802 0.2493  6 Ga 2.98-3.14
10 Th 0.7577 0.3198 0.7493  6 Ga 2.98-3.14
11 Ga 0.0785 0.5300 0.8683  1 Ga 2.75, 2 Th 2.98-3.03
12 Ga 0.0785 0.9700 0.3683  1 Ga 2.75, 2 Th 2.98-3.03
13 Ga 0.4876 0.1218 0.8779  1 Ga 2.71
14 Ga 0.4876 0.3782 0.3779  1 Ga 2.71
15 Ga 0.5124 0.6218 0.6221  1 Ga 2.71
16 Ga 0.5124 0.8782 0.1221  1 Ga 2.71
17 Ga 0.9215 0.0300 0.6317  1 Ga 2.75, 2 Th 2.98-3.03
18 Ga 0.9215 0.4700 0.1317  1 Ga 2.75, 2 Th 2.98-3.03

Values from the calculation:
Mass density ... 8.545 g cm⁻³
ΔE_f ... -456 meV/atom

Material: NdTh2Ga
Method: DFT, PBE
State: optimized geometry

Unit cell a=11.9878 b=11.9878 c=11.9878 alpha=16.43 beta=16.43 gamma=16.43
With the nearest neighbours (Å) after each atom.
Element x y z (fractional)
1 Nd 0.0000 0.0000 0.0000  2 Th 3.42, 6 Nd 3.43
2 Th 0.0963 0.0963 0.0963  3 Ga 3.18, 1 Nd 3.42, 6 Th 3.43
3 Th 0.9037 0.9037 0.9037  3 Ga 3.18, 1 Nd 3.42, 6 Th 3.43
4 Ga 0.5000 0.5000 0.5000  6 Th 3.18, 6 Ga 3.43

Values from the calculation:
Mass density ... 9.369 g cm⁻³
ΔE_f ... 100 meV/atom
Energy above the lowest structure with this stoichiometry ... 266 meV per atom

The magnetic moment results, record by record, are as follows: 0.00; 0.00; 0.00; 0.00 μB per formula unit.